An optimized crystal structure of GdSnF7, computed with GGA-PBEsol.

Calculated values
VASP energy ... -6.80 eV per atom
SG ... P2_1/c
ΔE_f (raw) ... -3.22 eV/atom
Crystal system ... monoclinic

Structure (extended XYZ):
```
36
Lattice="-3.594 0.681 -4.263 -1.097 -8.898 -0.496 -7.702 3.928 7.121" Properties=species:S:1:pos:R:3 pbc="T T T"
F -7.045 -0.447 2.359
F -9.070 -0.420 0.526
F -4.307 -7.110 -1.552
Sn -5.199 -4.530 1.856
F -7.067 -5.180 1.801
F -5.765 -2.801 2.632
F -9.710 -1.948 4.569
F -5.326 0.891 0.562
Gd -4.936 -2.326 -1.699
Gd -7.457 -1.963 4.062
F -11.163 -1.322 2.170
F -4.557 -6.261 1.154
F -8.497 -4.558 -0.571
Gd -9.396 -4.800 1.543
Gd -2.997 0.511 0.820
F -1.230 -2.967 0.193
Sn -3.847 -6.181 -3.248
F -7.836 1.972 1.209
F -6.628 -1.488 -0.269
F -10.262 2.876 1.901
Sn -8.546 1.892 5.611
F -7.093 -4.045 4.693
F -8.526 -2.952 2.374
F -3.867 -1.337 -0.012
F -2.131 -7.165 0.461
F -8.086 2.820 3.914
F -3.896 0.269 2.934
F -10.961 -3.986 3.123
F -4.377 -4.471 -2.414
F -2.683 -2.341 -2.207
F -5.348 -3.842 0.004
Sn -7.195 0.241 0.507
F -5.300 -0.245 -2.330
F -1.432 -0.304 -0.760
F -3.323 -3.869 1.837
F -8.016 0.182 4.777
```

=====

An optimized crystal structure of Ge5F12, computed with GGA-PBEsol.

Calculated values
VASP energy ... -5.01 eV per atom
SG ... P2_1/c
ΔE_f (raw) ... -2.19 eV/atom
Crystal system ... monoclinic

Structure (extended XYZ):
```
34
Lattice="7.544 0.000 0.000 0.000 8.307 0.038 0.000 -0.385 7.901" Properties=species:S:1:pos:R:3 pbc="T T T"
Ge 7.132 5.593 4.950
Ge 3.359 2.137 6.938
Ge 0.413 2.329 2.988
F 6.352 2.599 7.174
F 0.806 2.739 0.897
F 2.580 5.131 4.715
F 2.966 2.546 4.847
F 2.672 3.706 2.598
Ge 3.772 3.961 3.969
F 3.372 6.516 7.063
Ge 0.000 4.153 0.019
F 0.952 6.789 5.850
F 1.553 0.866 2.703
F 5.326 7.248 1.285
F 0.400 6.708 3.113
Ge 4.185 5.785 1.000
F 6.592 1.134 2.088
F 1.192 5.323 0.765
F 4.172 1.407 0.875
F 7.145 1.214 4.826
F 6.739 5.184 7.041
Ge 6.606 0.509 6.445
F 4.873 4.216 5.341
F 2.820 6.981 1.900
F 5.991 7.056 5.236
F 2.219 0.674 6.653
F 6.444 4.408 1.390
Ge 2.834 7.221 5.444
Ge 0.938 7.413 1.493
F 1.100 3.514 6.548
Ge 4.710 0.701 2.495
F 4.725 0.941 6.038
F 4.965 2.792 3.223
F 4.578 5.376 3.091
```

=====

An optimized crystal structure of Ge3F8, computed with GGA-PBEsol.

Calculated values
VASP energy ... -5.00 eV per atom
SG ... P2_1/c
ΔE_f (raw) ... -2.25 eV/atom
Crystal system ... monoclinic

Structure (extended XYZ):
```
22
Lattice="5.084 0.000 -0.065 0.000 5.132 0.000 -0.350 0.000 11.410" Properties=species:S:1:pos:R:3 pbc="T T T"
F 4.205 3.607 0.523
Ge 0.000 0.000 0.000
F 1.730 2.829 3.984
F 3.248 4.752 2.766
F 4.204 2.185 2.841
Ge 2.367 2.566 5.672
F 1.487 0.381 8.579
F 4.098 4.869 9.657
Ge 4.728 0.507 3.731
F 3.630 0.976 0.283
Ge 2.724 3.073 1.876
F 3.821 3.542 5.324
F 1.488 4.092 6.260
F 0.637 0.263 1.688
F 3.004 2.303 7.360
F 0.531 2.947 8.503
Ge 2.011 2.059 9.468
F 0.530 1.526 10.822
F 3.246 1.040 5.084
Ge 0.007 4.626 7.614
F 0.913 1.590 6.020
F 1.104 4.156 11.062
```

=====

An optimized crystal structure of MgGeH12O6F6, computed with GGA-PBEsol.

Calculated values
VASP energy ... -5.07 eV per atom
SG ... P2_1/c
Crystal system ... monoclinic

Structure (extended XYZ):
```
52
Lattice="-1.570 -5.142 3.718 8.395 0.037 0.941 -0.867 5.696 7.512" Properties=species:S:1:pos:R:3 pbc="T T T"
H 4.214 1.456 6.506
O 1.505 -0.435 8.573
Ge 3.412 -2.552 2.329
H -0.945 3.059 6.903
H 0.074 1.356 10.484
H 1.744 -0.865 5.664
H 4.170 -4.445 4.769
H 5.287 0.655 3.968
F 7.135 2.127 6.445
H 2.649 -2.121 5.279
H 6.207 -2.588 3.837
H 1.314 1.656 4.434
F 0.552 0.303 5.199
F 6.771 0.183 4.784
O -0.826 3.646 7.686
H 4.643 -1.065 7.737
O 2.354 -1.548 6.026
F 5.096 -1.953 2.670
H 6.903 -2.468 5.268
Mg 0.000 0.000 0.000
O 1.824 2.305 3.897
F 5.406 0.288 6.972
F 2.688 3.745 8.133
H 3.850 0.275 3.381
H -0.324 0.101 2.707
F 3.216 1.533 9.315
O 3.603 2.139 6.145
Ge -1.219 0.277 5.615
H 2.108 0.316 8.790
H 1.788 5.035 7.402
O -0.420 0.607 10.890
H -0.328 -2.492 6.899
O 6.378 -0.017 1.280
H -0.249 3.179 8.333
H 6.282 0.489 9.464
H 6.286 3.082 5.272
H 4.742 0.787 9.771
F -1.177 -1.537 5.725
O 4.134 -1.714 8.274
O 4.452 1.026 3.597
Mg 3.764 2.867 4.226
H 1.216 -0.197 2.400
O 5.575 0.422 10.149
O 0.382 0.169 2.021
H 0.671 -0.064 8.202
H 5.883 -0.765 1.687
F 0.862 2.543 9.501
O 6.784 -3.055 4.484
F 3.269 -3.154 4.038
F -0.813 0.408 7.386
H 3.308 2.712 6.891
F 2.742 -0.942 2.855
```

=====

An optimized crystal structure of GeH10N4F6, computed with GGA-PBEsol.

Calculated values
VASP energy ... -5.12 eV per atom
SG ... P2_1/c
Crystal system ... monoclinic

Structure (extended XYZ):
```
42
Lattice="5.229 0.000 0.000 0.000 5.891 0.118 0.000 2.255 11.230" Properties=species:S:1:pos:R:3 pbc="T T T"
H 0.050 5.767 8.313
F 1.394 5.042 4.674
F 4.009 4.922 1.118
N 1.612 2.898 1.892
H 0.761 3.816 3.492
N 3.074 0.811 3.010
F 3.835 3.104 6.674
F 3.266 5.617 6.348
H 1.239 2.436 1.050
F 0.652 6.602 10.674
N 3.618 5.248 9.456
N 4.226 1.175 3.782
F 1.155 5.786 1.500
H 3.990 5.710 10.298
N 2.155 7.335 8.338
H 4.468 4.330 7.856
H 1.854 1.998 9.048
H 5.013 3.841 2.115
H 3.376 6.148 2.300
H 2.399 6.123 3.677
F 1.459 3.968 7.056
F 4.074 2.360 9.848
H 0.569 1.962 7.133
Ge 2.615 4.073 5.674
Ge 0.000 0.000 0.000
H 2.665 6.452 8.709
F 4.578 1.544 0.674
H 1.376 6.509 6.724
N 4.770 4.884 8.684
H 3.184 4.366 9.771
H 0.216 4.305 9.233
H 5.179 2.379 3.035
F 1.220 3.224 10.230
H 4.660 6.185 4.216
F 1.963 2.529 5.000
H 3.854 1.637 4.624
H 2.564 1.694 2.639
N 1.003 6.972 7.566
H 2.046 3.780 1.577
N 0.459 3.262 2.664
F 3.770 4.178 4.293
H 2.830 2.023 7.671
```

=====

An optimized crystal structure of GeHOF2, computed with GGA-PBEsol.

Calculated values
VASP energy ... -4.53 eV per atom
SG ... P4/mmm
Crystal system ... tetragonal

Structure (extended XYZ):
```
5
Lattice="3.445 0.000 0.000 0.000 3.856 0.000 0.000 0.000 3.856" Properties=species:S:1:pos:R:3 pbc="T T T"
F 0.000 1.928 0.000
O 1.722 0.000 0.000
H 1.722 1.928 1.928
F 0.000 0.000 1.928
Ge 0.000 0.000 0.000
```

=====

no.,total magnetization (μB per formula unit)
1,7.0
2,0.0
3,0.0
4,0.0
5,0.0
6,1.0